(1)
# PBE Re2IrOs, optimized geometry
# - Total energy: -11.271 eV/atom
# - Total magnetization: 0.00 μB per cell
# - ΔH_f (0 K): -0.024 eV/atom
data_Re2IrOs
_chemical_formula_sum 'Re4 Ir2 Os2'
_space_group_name_H-M_alt 'C 1 m 1'
_space_group_IT_number 8
_space_group_name_Hall 'C -2y'
_cell_length_a 9.108
_cell_length_b 2.747
_cell_length_c 4.770
_cell_angle_alpha 90.00
_cell_angle_beta 100.12
_cell_angle_gamma 90.00
loop_
_atom_site_label
_atom_site_fract_x
_atom_site_fract_y
_atom_site_fract_z
_atom_site_occupancy
Re1 0.000 0.000 0.000 1
Re2 0.248 0.000 0.739 1
Ir1 0.499 0.000 0.497 1
Os1 0.245 0.500 0.228 1



(2)
# PBE Re2IrOs, optimized geometry
# - Total energy: -11.441 eV/atom
# - Total magnetization: 0.00 μB per cell
# - ΔH_f (0 K): -0.195 eV/atom
data_Re2IrOs
_chemical_formula_sum 'Re2 Ir1 Os1'
_space_group_name_H-M_alt 'P m m 2'
_space_group_IT_number 25
_space_group_name_Hall 'P 2 -2'
_cell_length_a 2.760
_cell_length_b 4.391
_cell_length_c 4.814
_cell_angle_alpha 90.00
_cell_angle_beta 90.00
_cell_angle_gamma 90.00
loop_
_atom_site_label
_atom_site_fract_x
_atom_site_fract_y
_atom_site_fract_z
_atom_site_occupancy
Re1 0.000 0.000 0.000 1
Re2 0.000 0.500 0.330 1
Ir1 0.500 0.500 0.837 1
Os1 0.500 0.000 0.496 1



(3)
# PBE Re2IrOs, optimized geometry
# - Total energy: -11.259 eV/atom
# - Total magnetization: 0.00 μB per cell
# - ΔH_f (0 K): -0.013 eV/atom
data_Re2IrOs
_chemical_formula_sum 'Re2 Ir1 Os1'
_space_group_name_H-M_alt 'P 4 m m'
_space_group_IT_number 99
_space_group_name_Hall 'P 4 -2'
_cell_length_a 2.744
_cell_length_b 2.744
_cell_length_c 7.839
_cell_angle_alpha 90.00
_cell_angle_beta 90.00
_cell_angle_gamma 90.00
loop_
_atom_site_label
_atom_site_fract_x
_atom_site_fract_y
_atom_site_fract_z
_atom_site_occupancy
Re1 0.000 0.000 0.000 1
Re2 0.500 0.500 0.267 1
Ir1 0.000 0.000 0.505 1
Os1 0.500 0.500 0.767 1



(4)
# PBE ReIr2Os4Ru, optimized geometry
# - Total energy: -10.492 eV/atom
# - Total magnetization: 0.00 μB per cell
# - ΔH_f (0 K): 0.054 eV/atom
data_ReIr2Os4Ru
_chemical_formula_sum 'Re1 Ir2 Os4 Ru1'
_space_group_name_H-M_alt 'P 1 2/m 1'
_space_group_IT_number 10
_space_group_name_Hall '-P 2y'
_cell_length_a 4.728
_cell_length_b 2.729
_cell_length_c 9.070
_cell_angle_alpha 90.00
_cell_angle_beta 100.13
_cell_angle_gamma 90.00
loop_
_atom_site_label
_atom_site_fract_x
_atom_site_fract_y
_atom_site_fract_z
_atom_site_occupancy
Re1 0.000 0.000 0.000 1
Ir1 0.000 0.500 0.500 1
Ir2 0.500 0.000 0.500 1
Os1 0.247 0.500 0.247 1
Os2 0.250 0.000 0.753 1
Ru1 0.500 0.500 0.000 1



(5)
# PBE ReIrOs2Ru, optimized geometry
# - Total energy: -9.928 eV/atom
# - Total magnetization: 0.00 μB per cell
# - ΔH_f (0 K): 0.680 eV/atom
data_ReIrOs2Ru
_chemical_formula_sum 'Re4 Ir4 Os8 Ru4'
_space_group_name_H-M_alt 'C m c m'
_space_group_IT_number 63
_space_group_name_Hall '-C 2c 2'
_cell_length_a 7.152
_cell_length_b 8.725
_cell_length_c 5.396
_cell_angle_alpha 90.00
_cell_angle_beta 90.00
_cell_angle_gamma 90.00
loop_
_atom_site_label
_atom_site_fract_x
_atom_site_fract_y
_atom_site_fract_z
_atom_site_occupancy
Re1 0.000 0.193 0.250 1
Ir1 0.000 0.218 0.750 1
Os1 0.189 0.000 0.000 1
Ru1 0.000 0.465 0.250 1



(6)
# PBE ReIrOsRu, optimized geometry
# - Total energy: -10.082 eV/atom
# - Total magnetization: 0.00 μB per cell
# - ΔH_f (0 K): 0.372 eV/atom
data_ReIrOsRu
_chemical_formula_sum 'Re2 Ir2 Os2 Ru2'
_space_group_name_H-M_alt 'I m m 2'
_space_group_IT_number 44
_space_group_name_Hall 'I 2 -2'
_cell_length_a 2.710
_cell_length_b 4.340
_cell_length_c 10.625
_cell_angle_alpha 90.00
_cell_angle_beta 90.00
_cell_angle_gamma 90.00
loop_
_atom_site_label
_atom_site_fract_x
_atom_site_fract_y
_atom_site_fract_z
_atom_site_occupancy
Re1 0.000 0.000 0.000 1
Ir1 0.000 0.500 0.267 1
Os1 0.000 0.000 0.430 1
Ru1 0.000 0.500 0.709 1



(7)
# PBE ReIr2OsRu4, optimized geometry
# - Total energy: -9.793 eV/atom
# - Total magnetization: 0.00 μB per cell
# - ΔH_f (0 K): 0.020 eV/atom
data_ReIr2OsRu4
_chemical_formula_sum 'Re1 Ir2 Os1 Ru4'
_space_group_name_H-M_alt 'P 1 2/m 1'
_space_group_IT_number 10
_space_group_name_Hall '-P 2y'
_cell_length_a 4.709
_cell_length_b 2.725
_cell_length_c 9.032
_cell_angle_alpha 90.00
_cell_angle_beta 100.19
_cell_angle_gamma 90.00
loop_
_atom_site_label
_atom_site_fract_x
_atom_site_fract_y
_atom_site_fract_z
_atom_site_occupancy
Re1 0.000 0.000 0.000 1
Ir1 0.000 0.500 0.500 1
Ir2 0.500 0.000 0.500 1
Os1 0.500 0.500 0.000 1
Ru1 0.249 0.500 0.248 1
Ru2 0.250 0.000 0.753 1



(8)
# PBE ReTcIrOs, optimized geometry
# - Total energy: -10.777 eV/atom
# - Total magnetization: 0.00 μB per cell
# - ΔH_f (0 K): -0.051 eV/atom
data_ReTcIrOs
_chemical_formula_sum 'Re2 Tc2 Ir2 Os2'
_space_group_name_H-M_alt 'I -4 m 2'
_space_group_IT_number 119
_space_group_name_Hall 'I -4 -2'
_cell_length_a 3.893
_cell_length_b 3.893
_cell_length_c 7.684
_cell_angle_alpha 90.00
_cell_angle_beta 90.00
_cell_angle_gamma 90.00
loop_
_atom_site_label
_atom_site_fract_x
_atom_site_fract_y
_atom_site_fract_z
_atom_site_occupancy
Re1 0.000 0.000 0.000 1
Tc1 0.000 0.500 0.250 1
Ir1 0.000 0.000 0.500 1
Os1 0.000 0.500 0.750 1



(9)
# PBE TiReIr2Os, optimized geometry
# - Total energy: -8.090 eV/atom
# - Total magnetization: 2.73 μB per cell
# - ΔH_f (0 K): 1.769 eV/atom
data_TiReIr2Os
_chemical_formula_sum 'Ti1 Re1 Ir2 Os1'
_space_group_name_H-M_alt 'P 4/m m m'
_space_group_IT_number 123
_space_group_name_Hall '-P 4 2'
_cell_length_a 4.488
_cell_length_b 4.488
_cell_length_c 4.486
_cell_angle_alpha 90.00
_cell_angle_beta 90.00
_cell_angle_gamma 90.00
loop_
_atom_site_label
_atom_site_fract_x
_atom_site_fract_y
_atom_site_fract_z
_atom_site_occupancy
Ti1 0.000 0.000 0.000 1
Re1 0.500 0.500 0.500 1
Ir1 0.000 0.500 0.000 1
Os1 0.000 0.000 0.500 1



(10)
# PBE YRe2IrOs, optimized geometry
# - Total energy: -6.957 eV/atom
# - Total magnetization: 0.00 μB per cell
# - ΔH_f (0 K): 3.333 eV/atom
data_YRe2IrOs
_chemical_formula_sum 'Y1 Re2 Ir1 Os1'
_space_group_name_H-M_alt 'P 4/m m m'
_space_group_IT_number 123
_space_group_name_Hall '-P 4 2'
_cell_length_a 4.692
_cell_length_b 4.692
_cell_length_c 4.734
_cell_angle_alpha 90.00
_cell_angle_beta 90.00
_cell_angle_gamma 90.00
loop_
_atom_site_label
_atom_site_fract_x
_atom_site_fract_y
_atom_site_fract_z
_atom_site_occupancy
Y1 0.000 0.000 0.000 1
Re1 0.000 0.500 0.000 1
Ir1 0.000 0.000 0.500 1
Os1 0.500 0.500 0.500 1



(11)
# PBE ZnRe2IrOs, optimized geometry
# - Total energy: -7.073 eV/atom
# - Total magnetization: 2.58 μB per cell
# - ΔH_f (0 K): 2.180 eV/atom
data_ZnRe2IrOs
_chemical_formula_sum 'Zn1 Re2 Ir1 Os1'
_space_group_name_H-M_alt 'P 4/m m m'
_space_group_IT_number 123
_space_group_name_Hall '-P 4 2'
_cell_length_a 4.686
_cell_length_b 4.686
_cell_length_c 4.514
_cell_angle_alpha 90.00
_cell_angle_beta 90.00
_cell_angle_gamma 90.00
loop_
_atom_site_label
_atom_site_fract_x
_atom_site_fract_y
_atom_site_fract_z
_atom_site_occupancy
Zn1 0.000 0.000 0.000 1
Re1 0.000 0.500 0.500 1
Ir1 0.000 0.000 0.500 1
Os1 0.500 0.500 0.000 1



(12)
# PBE Ir2OsRh, optimized geometry
# - Total energy: -8.499 eV/atom
# - Total magnetization: 7.50 μB per cell
# - ΔH_f (0 K): 0.577 eV/atom
data_Ir2OsRh
_chemical_formula_sum 'Ir8 Os4 Rh4'
_space_group_name_H-M_alt 'F m -3 m'
_space_group_IT_number 225
_space_group_name_Hall '-F 4 2 3'
_cell_length_a 6.203
_cell_length_b 6.203
_cell_length_c 6.203
_cell_angle_alpha 90.00
_cell_angle_beta 90.00
_cell_angle_gamma 90.00
loop_
_atom_site_label
_atom_site_fract_x
_atom_site_fract_y
_atom_site_fract_z
_atom_site_occupancy
Ir1 0.250 0.250 0.250 1
Os1 0.000 0.000 0.000 1
Rh1 0.000 0.000 0.500 1